Below is an optimized crystal structure of LiP2Pd2, with properties calculated at the PBE level. Values from VASP.

Output
As for the calculated volume: 15.31 Å³/atom. The energy of formation is -275 meV per atom.

Quantum ESPRESSO input file:
```
&SYSTEM
  ibrav = 0, nat = 10, ntyp = 3
/
ATOMIC_SPECIES
Li 6.94 Li.upf
P 30.97 P.upf
Pd 106.42 Pd.upf
ATOMIC_POSITIONS crystal
Li 0.000 0.000 0.000
Li 0.500 0.500 0.000
P 0.162 0.338 0.500
P 0.338 0.838 0.500
P 0.662 0.162 0.500
P 0.838 0.662 0.500
Pd 0.141 0.641 0.000
Pd 0.359 0.141 0.000
Pd 0.641 0.859 0.000
Pd 0.859 0.359 0.000
CELL_PARAMETERS angstrom
7.179 0.000 0.000
0.000 7.179 0.000
0.000 0.000 2.971
```